# Ac8Os3Br4F

A relaxed structure of Ac8Os3Br4F (GGA-PBE, Alexandria).

a b c (Å): 8.632 9.663 8.629
angles (deg): 116.49 120.01 90.00
Fractional positions:
Ac (0.236, 0.694, 0.958)
Ac (0.236, 0.694, 0.473)
Ac (0.267, 0.303, 0.535)
Ac (0.721, 0.694, 0.958)
Ac (0.279, 0.306, 0.042)
Ac (0.733, 0.697, 0.465)
Ac (0.764, 0.306, 0.527)
Ac (0.764, 0.306, 0.042)
Os (0.500, 0.500, 0.000)
Os (0.500, 0.500, 0.500)
Os (0.000, 0.500, 0.500)
Br (0.500, 0.000, 0.000)
Br (0.500, 0.000, 0.500)
Br (0.000, 0.000, 0.000)
Br (0.000, 0.000, 0.500)
F (0.000, 0.500, 0.000)

- Formation energy without anion corrections: -1580 kJ/mol of formula units
- Total energy: -5.72 eV per atom
- Spin magnetization: 0.00 μB per formula unit